No. 1
La12Tl3Pb5: relaxed, PBE.

Geometry as POSCAR:
```
La12Tl3Pb5
1.0
-6.483 -0.853 15.016
-7.059 -11.203 -9.638
16.101 -2.882 0.833
La Pb Tl
48 20 12
Direct
0.078 0.910 0.135
0.910 0.078 0.635
0.832 0.922 0.057
0.365 0.943 0.775
0.775 0.332 0.910
0.578 0.943 0.668
0.225 0.668 0.090
0.225 0.557 0.635
0.168 0.090 0.725
0.865 0.275 0.443
0.168 0.078 0.943
0.332 0.775 0.410
0.135 0.410 0.078
0.590 0.725 0.668
0.443 0.668 0.078
0.135 0.725 0.557
0.635 0.578 0.910
0.668 0.443 0.578
0.057 0.422 0.832
0.590 0.865 0.422
0.832 0.910 0.275
0.865 0.590 0.922
0.410 0.275 0.332
0.422 0.057 0.332
0.725 0.590 0.168
0.922 0.090 0.865
0.332 0.557 0.422
0.275 0.410 0.832
0.443 0.775 0.865
0.365 0.422 0.090
0.943 0.365 0.275
0.668 0.225 0.590
0.090 0.922 0.365
0.410 0.135 0.578
0.090 0.168 0.225
0.725 0.135 0.057
0.275 0.865 0.943
0.557 0.225 0.135
0.578 0.635 0.410
0.775 0.443 0.365
0.557 0.332 0.922
0.422 0.365 0.590
0.078 0.168 0.443
0.943 0.578 0.168
0.635 0.057 0.225
0.910 0.832 0.775
0.057 0.635 0.725
0.922 0.832 0.557
0.375 0.250 0.125
0.125 0.750 0.375
0.000 0.500 0.000
0.000 0.500 0.500
0.500 0.500 0.500
0.500 0.000 0.500
0.000 0.000 0.500
0.625 0.875 0.250
0.000 0.000 0.000
0.500 0.000 0.000
0.500 0.500 0.000
0.750 0.125 0.875
0.125 0.375 0.250
0.250 0.375 0.625
0.875 0.625 0.750
0.750 0.625 0.375
0.625 0.750 0.875
0.250 0.875 0.125
0.875 0.250 0.625
0.375 0.125 0.750
0.125 0.875 0.750
0.750 0.875 0.625
0.250 0.125 0.375
0.375 0.625 0.250
0.625 0.375 0.750
0.750 0.375 0.125
0.250 0.625 0.875
0.125 0.250 0.875
0.375 0.750 0.625
0.625 0.250 0.375
0.875 0.125 0.250
0.875 0.750 0.125
```

Values from the calculation:
- crystal system = cubic
- energy relative to the elements (meV/atom) = -59

---

No. 2
Cs5Au3I2: relaxed, PBE.

Geometry as POSCAR:
```
Cs5Au3I2
1.0
-4.754 1.682 -1.320
-4.713 -7.998 -3.508
-6.382 -2.869 9.038
Cs I Au
5 2 3
Direct
0.294 0.606 0.805
0.706 0.394 0.195
0.095 0.223 0.587
0.905 0.777 0.413
0.000 0.000 0.000
0.670 0.929 0.732
0.330 0.071 0.268
0.500 0.500 0.500
0.115 0.645 0.126
0.885 0.355 0.874
```

Values from the calculation:
- formation energy without anion corrections (eV per formula unit) = -7.83
- crystal system = monoclinic

---

No. 3
Y2NpPaP4: relaxed, PBE.

Geometry as POSCAR:
```
Y2NpPaP4
1.0
3.988 0.000 0.000
0.000 6.892 0.112
0.000 -2.416 6.486
Np P Y Pa
1 4 2 1
Direct
0.000 0.000 0.000
0.500 0.249 0.244
0.000 0.252 0.754
0.000 0.748 0.246
0.500 0.751 0.756
0.500 0.000 0.500
0.000 0.500 0.500
0.500 0.500 0.000
```

Values from the calculation:
- crystal system = monoclinic
- energy relative to the elements (meV/atom) = -1361

---

No. 4
SiSeSN: relaxed, PBE.

Geometry as POSCAR:
```
SiSeSN
1.0
-2.117 -1.961 0.132
-0.936 -1.388 -4.147
3.162 -5.394 -0.333
Se N S Si
1 1 1 1
Direct
0.258 0.486 0.895
0.020 0.792 0.080
0.691 0.143 0.415
0.377 0.989 0.177
```

Values from the calculation:
- formation energy without anion corrections (eV per formula unit) = -0.30
- crystal system = triclinic
- E above lowest polymorph (meV per atom) = 62

---

No. 5
Pm2NdCd2In2: relaxed, PBE.

Geometry as POSCAR:
```
Pm2NdCd2In2
1.0
-3.730 -3.312 0.242
1.008 -4.888 0.166
-0.637 -2.365 9.336
Nd Pm Cd In
1 2 2 2
Direct
0.000 0.000 0.000
0.871 0.871 0.386
0.129 0.129 0.614
0.599 0.599 0.202
0.401 0.401 0.798
0.261 0.261 0.216
0.739 0.739 0.784
```

Values from the calculation:
- crystal system = trigonal
- energy relative to the elements (meV/atom) = -296

---

No. 6
YTaAs4: relaxed, PBE.

Geometry as POSCAR:
```
YTaAs4
1.0
-4.770 -2.080 -1.925
-4.680 2.952 0.411
-2.330 2.154 -4.552
As Ta Y
4 1 1
Direct
0.872 0.376 0.376
0.376 0.872 0.376
0.376 0.376 0.872
0.376 0.376 0.376
0.750 0.750 0.750
0.000 0.000 0.000
```

Values from the calculation:
- crystal system = cubic
- energy relative to the elements (meV/atom) = 256

---

In the order shown, the computed Fermi-level density of states values come out to 101.1; 0.0; 11.4; 2.4; 4.1; 4.7 states/eV/cell.
In the order shown, the computed magnetization values come out to 0.00; 0.00; 4.36; 0.00; 0.00; 0.00 μB/f.u..